Cr3GeO | PBE+U | optimized geometry

The energy above the most stable polymorph in this dataset comes out at 48 meV/atom. For the density of states at the Fermi level, the calculation gives 1.081 states/eV per cell. Its crystal system is cubic.

Unit cell a=4.869 b=4.869 c=4.869 alpha=90.00 beta=90.00 gamma=90.00
Each line ends with the local moment (μB).
Sites, in units of the cell vectors:
Cr: 0.500 0.000 0.000  3.96
O: 0.500 0.500 0.500  -0.76
Cr: 0.000 0.500 0.000  4.12
Cr: 0.000 0.000 0.500  4.24
Ge: 0.000 0.000 0.000  -0.38